# 1
Density functional theory data (PBE) for crystalline In3As5 at its relaxed geometry.

Values from the calculation:
**Raw total energy**: -29.47 eV per cell
**Formation enthalpy at 0 K**: 0.249 eV/atom
**Symmetry**: Cmmm
**Energy above the most stable polymorph in this dataset**: 3 meV/atom
**M_tot**: 0.00 μB/atom
**D(E_F)**: 4.365 states/eV per cell

Cell: 6.168 6.168 4.935 Å, 90.00 90.00 110.27°
Element x y z (fractional)
In  0.000  0.000  0.000
In  0.232  0.768  0.500
In  0.768  0.232  0.500
As  0.000  0.500  0.000
As  0.299  0.299  0.500
As  0.500  0.000  0.000
As  0.500  0.500  0.000
As  0.701  0.701  0.500

# 2
Density functional theory data (PBE) for crystalline InAs at its relaxed geometry.

Values from the calculation:
**Raw total energy**: -21.87 eV per cell
**Formation enthalpy at 0 K**: 0.050 eV/atom
**Symmetry**: Cm
**M_tot**: 0.00 μB/atom
**D(E_F)**: 1.612 states/eV per cell

Cell: 6.478 6.478 6.610 Å, 102.21 102.21 35.57°
Element x y z (fractional)
In  0.000  0.000  0.000
In  0.062  0.062  0.594
In  0.268  0.268  0.249
As  0.315  0.315  0.716
As  0.502  0.502  0.298
As  0.727  0.727  0.876

# 3
Density functional theory data (PBE) for crystalline In3As at its relaxed geometry.

Values from the calculation:
**Raw total energy**: -51.27 eV per cell
**Formation enthalpy at 0 K**: 0.012 eV/atom
**Symmetry**: Pnma
**Energy above the most stable polymorph in this dataset**: 0 meV/atom
**M_tot**: 0.00 μB/atom
**D(E_F)**: 6.549 states/eV per cell

Cell: 6.935 10.080 6.040 Å, 90.00 90.00 90.00°
Element x y z (fractional)
In  0.094  0.250  0.125
In  0.222  0.555  0.112
In  0.222  0.945  0.112
In  0.278  0.055  0.612
In  0.278  0.445  0.612
In  0.406  0.750  0.625
In  0.594  0.250  0.375
In  0.722  0.555  0.388
In  0.722  0.945  0.388
In  0.778  0.055  0.888
In  0.778  0.445  0.888
In  0.906  0.750  0.875
As  0.025  0.750  0.411
As  0.475  0.250  0.911
As  0.525  0.750  0.089
As  0.975  0.250  0.589

# 4
Density functional theory data (PBE) for crystalline InAs2 at its relaxed geometry.

Values from the calculation:
**Raw total energy**: -23.73 eV per cell
**Formation enthalpy at 0 K**: 0.057 eV/atom
**Symmetry**: C2/m
**M_tot**: 0.00 μB/atom
**D(E_F)**: 2.211 states/eV per cell

Cell: 5.798 5.798 7.667 Å, 98.75 98.75 36.80°
Element x y z (fractional)
In  0.124  0.124  0.156
In  0.876  0.876  0.844
As  0.114  0.114  0.562
As  0.398  0.398  0.213
As  0.602  0.602  0.787
As  0.886  0.886  0.438

# 5
Density functional theory data (PBE) for crystalline InAs4 at its relaxed geometry.

Values from the calculation:
**Raw total energy**: -15.68 eV per cell
**Formation enthalpy at 0 K**: 1.131 eV/atom
**Symmetry**: Pm-3m
**Energy above the most stable polymorph in this dataset**: 548 meV/atom
**M_tot**: 0.00 μB/atom
**D(E_F)**: 5.996 states/eV per cell

Cell: 5.170 5.170 5.170 Å, 90.00 90.00 90.00°
Element x y z (fractional)
In  0.000  0.000  0.000
As  0.000  0.000  0.500
As  0.000  0.500  0.000
As  0.500  0.000  0.000
As  0.500  0.500  0.500

# 6
Density functional theory data (PBE) for crystalline InAs2 at its relaxed geometry.

Values from the calculation:
**Raw total energy**: -45.18 eV per cell
**Formation enthalpy at 0 K**: 0.248 eV/atom
**Symmetry**: P6_3/mmc
**M_tot**: 0.00 μB/atom
**D(E_F)**: 7.923 states/eV per cell

Cell: 5.788 5.788 10.574 Å, 90.00 90.00 120.00°
Element x y z (fractional)
In  0.333  0.667  0.013
In  0.333  0.667  0.487
In  0.667  0.333  0.513
In  0.667  0.333  0.987
As  0.000  0.000  0.000
As  0.000  0.000  0.500
As  0.143  0.285  0.750
As  0.143  0.857  0.750
As  0.285  0.143  0.250
As  0.715  0.857  0.750
As  0.857  0.143  0.250
As  0.857  0.715  0.250